Density functional theory data (PBE) for crystalline MgZn3 at its relaxed geometry.

extended XYZ file:
```
4
Lattice="3.015 0.000 0.000 -1.508 2.611 0.000 0.000 0.000 8.542" Properties=species:S:1:pos:R:3 pbc="T T T"
Mg 0.000 0.000 0.000
Zn 0.000 0.000 4.271
Zn 1.508 0.870 2.261
Zn 1.508 0.870 6.281
```

For the calculated formation energy, the calculation gives 21 meV per atom. The value obtained for the total magnetization is 0.00 μB per formula unit. For the total energy, the calculation gives -1.333 eV per atom.

=====

Density functional theory data (PBE) for crystalline Ho2Zn2InPd5 at its relaxed geometry.

extended XYZ file:
```
20
Lattice="9.736 0.000 0.000 0.000 9.736 0.000 0.000 0.000 3.807" Properties=species:S:1:pos:R:3 pbc="T T T"
Ho 1.714 3.154 0.000
Ho 3.154 8.022 0.000
Ho 6.582 1.714 0.000
Ho 8.022 6.582 0.000
Zn 1.172 6.040 0.000
Zn 3.696 1.172 0.000
Zn 6.040 8.564 0.000
Zn 8.564 3.696 0.000
In 0.000 0.000 0.000
In 4.868 4.868 0.000
Pd 0.000 4.868 1.903
Pd 0.665 7.713 1.903
Pd 2.023 0.665 1.903
Pd 2.845 5.533 1.903
Pd 4.203 2.845 1.903
Pd 4.868 0.000 1.903
Pd 5.533 6.891 1.903
Pd 6.891 4.203 1.903
Pd 7.713 9.071 1.903
Pd 9.071 2.023 1.903
```

For the calculated formation energy, the calculation gives -715 meV per atom. The value obtained for the total magnetization is 0.00 μB per formula unit. For the total energy, the calculation gives -4.755 eV per atom.

=====

Density functional theory data (PBE) for crystalline Ho2Cd2Ni15 at its relaxed geometry.

extended XYZ file:
```
19
Lattice="4.229 2.441 4.109 -4.229 2.441 4.109 0.000 -4.883 4.109" Properties=species:S:1:pos:R:3 pbc="T T T"
Ho 0.000 0.000 1.821
Ho 0.000 0.000 10.507
Cd 0.000 0.000 4.862
Cd 0.000 0.000 7.466
Ni -2.114 -1.221 4.109
Ni 0.000 -2.500 3.979
Ni -2.165 1.250 3.979
Ni -1.305 -2.261 6.164
Ni -2.610 0.000 6.164
Ni -2.165 -1.250 8.348
Ni -2.114 1.221 8.218
Ni 1.305 -2.261 6.164
Ni 0.000 2.441 4.109
Ni -1.305 2.261 6.164
Ni 2.165 1.250 3.979
Ni 2.610 0.000 6.164
Ni 1.305 2.261 6.164
Ni 2.165 -1.250 8.348
Ni 0.000 2.500 8.348
```

For the calculated formation energy, the calculation gives -159 meV per atom. The value obtained for the total magnetization is 4.15 μB per formula unit. For the total energy, the calculation gives -5.301 eV per atom.

=====

Density functional theory data (PBE) for crystalline SrGa6Cu3 at its relaxed geometry.

extended XYZ file:
```
20
Lattice="7.302 0.000 0.000 0.000 6.674 0.000 -4.882 0.000 7.334" Properties=species:S:1:pos:R:3 pbc="T T T"
Sr 0.000 0.000 0.000
Sr -2.441 3.337 3.667
Ga -2.500 0.175 4.969
Ga -0.059 3.162 1.302
Ga 0.033 1.020 3.128
Ga -2.408 2.317 6.794
Ga 2.321 4.943 1.660
Ga -0.120 5.067 5.327
Ga 2.539 1.607 2.006
Ga 0.098 1.730 5.673
Ga 4.827 4.357 0.539
Ga 2.386 5.654 4.206
Ga 2.479 3.512 6.031
Ga 4.920 6.499 2.365
Cu -2.510 4.753 6.430
Cu -0.069 5.257 2.764
Cu 3.651 0.000 0.000
Cu 1.210 3.337 3.667
Cu 2.488 1.416 4.570
Cu 4.929 1.921 0.903
```

For the calculated formation energy, the calculation gives -160 meV per atom. The value obtained for the total magnetization is 0.00 μB per formula unit. For the total energy, the calculation gives -3.373 eV per atom.

=====

Density functional theory data (PBE) for crystalline In2Ag2H at its relaxed geometry.

extended XYZ file:
```
10
Lattice="5.813 0.000 0.000 0.000 5.813 0.000 0.000 0.000 5.490" Properties=species:S:1:pos:R:3 pbc="T T T"
In 1.063 1.844 0.000
In 1.844 4.751 0.000
In 3.969 1.063 0.000
In 4.751 3.969 0.000
Ag 1.039 3.945 2.745
Ag 1.868 1.039 2.745
Ag 3.945 4.775 2.745
Ag 4.775 1.868 2.745
H 0.000 0.000 2.745
H 2.907 2.907 2.745
```

The value obtained for the total magnetization is 0.00 μB per formula unit. For the total energy, the calculation gives -2.693 eV per atom.

=====

Density functional theory data (PBE) for crystalline ScC3 at its relaxed geometry.

extended XYZ file:
```
8
Lattice="4.528 0.000 0.000 -2.264 3.922 0.000 0.000 0.000 5.330" Properties=species:S:1:pos:R:3 pbc="T T T"
Sc 0.000 2.614 1.333
Sc 2.264 1.307 3.998
C 0.000 0.827 3.998
C -1.548 3.508 3.998
C 0.716 0.413 1.333
C 1.548 3.508 3.998
C 3.812 0.413 1.333
C 2.264 3.095 1.333
```

For the calculated formation energy, the calculation gives 836 meV per atom. The value obtained for the total magnetization is 0.00 μB per formula unit. For the total energy, the calculation gives -7.665 eV per atom.

=====

Density functional theory data (PBE) for crystalline Mo2RhAu at its relaxed geometry.

extended XYZ file:
```
16
Lattice="6.340 0.000 0.000 0.000 6.340 0.000 0.000 0.000 6.340" Properties=species:S:1:pos:R:3 pbc="T T T"
Mo 0.000 0.000 0.000
Mo 0.000 3.170 3.170
Mo 1.585 1.585 1.585
Mo 1.585 4.755 4.755
Mo 3.170 0.000 3.170
Mo 3.170 3.170 0.000
Mo 4.755 1.585 4.755
Mo 4.755 4.755 1.585
Rh 1.585 1.585 4.755
Rh 1.585 4.755 1.585
Rh 4.755 1.585 1.585
Rh 4.755 4.755 4.755
Au 0.000 0.000 3.170
Au 0.000 3.170 0.000
Au 3.170 0.000 0.000
Au 3.170 3.170 3.170
```

For the calculated formation energy, the calculation gives 255 meV per atom. The value obtained for the total magnetization is 0.00 μB per formula unit. For the total energy, the calculation gives -7.817 eV per atom.

=====

Density functional theory data (PBE) for crystalline TmHg2 at its relaxed geometry.

extended XYZ file:
```
6
Lattice="0.000 4.184 4.184 4.184 0.000 4.184 4.184 4.184 0.000" Properties=species:S:1:pos:R:3 pbc="T T T"
Tm 1.046 1.046 1.046
Tm 7.321 7.321 7.321
Hg 4.184 2.092 2.092
Hg 2.092 4.184 2.092
Hg 2.092 2.092 4.184
Hg 4.184 4.184 4.184
```

For the calculated formation energy, the calculation gives -139 meV per atom. The value obtained for the total magnetization is 0.00 μB per formula unit. For the total energy, the calculation gives -1.830 eV per atom.

=====

Density functional theory data (PBE) for crystalline V2TeSe at its relaxed geometry.

extended XYZ file:
```
12
Lattice="3.780 0.000 0.000 -1.890 3.274 0.000 0.000 0.000 18.895" Properties=species:S:1:pos:R:3 pbc="T T T"
V 0.000 0.000 0.000
V 0.000 0.000 3.727
V 0.000 2.183 12.597
V 0.000 2.183 16.324
V 1.890 1.091 6.298
V 1.890 1.091 10.025
Te 0.000 0.000 8.217
Te 0.000 2.183 1.918
Te 1.890 1.091 14.515
Se 0.000 0.000 11.439
Se 0.000 2.183 5.140
Se 1.890 1.091 17.737
```

As for the formation energy without anion corrections: -129 meV/atom. The value obtained for the total magnetization is 4.16 μB per formula unit. For the total energy, the calculation gives -6.345 eV per atom.

=====

Density functional theory data (PBE) for crystalline MnGa3Co4 at its relaxed geometry.

extended XYZ file:
```
8
Lattice="2.928 0.000 0.000 0.000 4.033 0.000 0.000 0.000 8.069" Properties=species:S:1:pos:R:3 pbc="T T T"
Mn 0.000 0.000 0.000
Ga 0.000 0.000 4.034
Ga 0.000 2.016 1.963
Ga 0.000 2.016 6.106
Co 1.464 0.000 2.035
Co 1.464 0.000 6.034
Co 1.464 2.016 0.000
Co 1.464 2.016 4.034
```

For the calculated formation energy, the calculation gives -235 meV per atom. The value obtained for the total magnetization is 4.53 μB per formula unit. For the total energy, the calculation gives -6.069 eV per atom.

=====

Density functional theory data (PBE) for crystalline AcSnPd at its relaxed geometry.

extended XYZ file:
```
6
Lattice="3.617 0.000 0.000 0.000 3.617 0.000 0.000 0.000 11.908" Properties=species:S:1:pos:R:3 pbc="T T T"
Ac 0.000 0.000 0.000
Ac 1.808 1.808 5.954
Sn 0.000 0.000 8.448
Sn 1.808 1.808 2.494
Pd 0.000 0.000 3.799
Pd 1.808 1.808 9.753
```

For the calculated formation energy, the calculation gives -560 meV per atom. The value obtained for the total magnetization is 0.00 μB per formula unit. For the total energy, the calculation gives -4.995 eV per atom.

=====

Density functional theory data (PBE) for crystalline YTcP2I at its relaxed geometry.

extended XYZ file:
```
5
Lattice="4.527 0.000 0.000 0.000 4.527 0.000 0.000 0.000 5.904" Properties=species:S:1:pos:R:3 pbc="T T T"
Y 0.000 0.000 0.000
Tc 0.000 0.000 2.952
P 0.000 2.263 2.952
P 2.263 0.000 2.952
I 2.263 2.263 0.000
```

As for the formation energy without anion corrections: -304 meV/atom. The value obtained for the total magnetization is 0.00 μB per formula unit. For the total energy, the calculation gives -6.144 eV per atom.

=====

Copy entry 12 word for word.
Density functional theory data (PBE) for crystalline YTcP2I at its relaxed geometry.

extended XYZ file:
```
5
Lattice="4.527 0.000 0.000 0.000 4.527 0.000 0.000 0.000 5.904" Properties=species:S:1:pos:R:3 pbc="T T T"
Y 0.000 0.000 0.000
Tc 0.000 0.000 2.952
P 0.000 2.263 2.952
P 2.263 0.000 2.952
I 2.263 2.263 0.000
```

As for the formation energy without anion corrections: -304 meV/atom. The value obtained for the total magnetization is 0.00 μB per formula unit. For the total energy, the calculation gives -6.144 eV per atom.

=====

Q: Number 5 is which compound?
A: In2Ag2H